VASP calculation (PBE) on crystalline K3Y2ScO6 at its relaxed geometry.

## Properties
SG: C2/m (12)
D(E_F) (states/eV/cell): 0.0
ΔE_f (raw) (meV/atom): -2735.8

```
12
Lattice="2.9533 -5.1159 0.0000 2.9533 5.1159 0.0000 -1.9666 0.0000 6.2332" Properties=species:S:1:pos:R:3 pbc="T T T"
K 0.0000 0.0000 0.0000
K 2.9533 1.6812 0.0000
K 2.9533 -1.6812 0.0000
Y 1.9700 3.4096 3.1166
Y 1.9700 -3.4096 3.1166
Sc 1.9700 0.0000 3.1166
O 1.0286 1.6308 1.9743
O 0.0875 0.0000 4.2557
O 1.0286 -1.6308 1.9743
O 2.9113 1.6308 4.2588
O 3.8524 0.0000 1.9775
O 2.9113 -1.6308 4.2588
```

VASP calculation (PBE) on crystalline YCd2As2 at its relaxed geometry.

## Properties
SG: I4/mmm (139)
D(E_F) (states/eV/cell): 5.7
E_form (eV/atom): -0.188

```
10
Lattice="5.1180 0.0000 0.0000 0.0000 5.1180 0.0000 0.0000 0.0000 9.2210" Properties=species:S:1:pos:R:3 pbc="T T T"
Y 0.0000 0.0000 0.0000
Y 2.5590 2.5590 4.6105
Cd 0.0000 0.0000 3.2751
Cd 0.0000 0.0000 5.9459
Cd 2.5590 2.5590 1.3354
Cd 2.5590 2.5590 7.8856
As 0.0000 2.5590 2.3053
As 0.0000 2.5590 6.9158
As 2.5590 0.0000 2.3053
As 2.5590 0.0000 6.9158
```

VASP calculation (PBE) on crystalline Sn2Ge2Pd7 at its relaxed geometry.

## Properties
SG: C2/m (12)
D(E_F) (states/eV/cell): 4.8
E_form (eV/atom): -0.393

```
11
Lattice="4.5477 -3.9054 0.0000 4.5477 3.9054 0.0000 -0.9546 0.0000 5.5780" Properties=species:S:1:pos:R:3 pbc="T T T"
Sn 4.5477 2.4099 0.0000
Sn 4.5477 -2.4099 0.0000
Ge 2.0431 0.0000 2.4017
Ge 6.0978 0.0000 3.1763
Pd -0.4773 0.0000 2.7890
Pd 1.3848 1.6303 4.1831
Pd 1.3848 -1.6303 4.1831
Pd 4.2655 0.0000 1.3642
Pd 3.8754 0.0000 4.2138
Pd 6.7561 1.6303 1.3949
Pd 6.7561 -1.6303 1.3949
```

VASP calculation (PBE) on crystalline TlNiSe3 at its relaxed geometry.

## Properties
SG: Pm-3m (221)
D(E_F) (states/eV/cell): 6.5
ΔE_f (raw) (meV/atom): 103.8

```
5
Lattice="4.8569 0.0000 0.0000 0.0000 4.8569 0.0000 0.0000 0.0000 4.8569" Properties=species:S:1:pos:R:3 pbc="T T T"
Tl 0.0000 0.0000 0.0000
Ni 2.4285 2.4285 2.4285
Se 0.0000 2.4285 2.4285
Se 2.4285 0.0000 2.4285
Se 2.4285 2.4285 0.0000
```

VASP calculation (PBE) on crystalline Pm2ZnPt2 at its relaxed geometry.

## Properties
SG: Ibam (72)
D(E_F) (states/eV/cell): 4.3
E_form (eV/atom): -0.911

```
10
Lattice="-3.5529 5.7181 2.9530 3.5529 -5.7181 2.9530 3.5529 5.7181 -2.9530" Properties=species:S:1:pos:R:3 pbc="T T T"
Pm 1.1632 1.6464 0.0000
Pm 1.1632 -1.6464 2.9530
Pm 2.3897 7.3646 0.0000
Pm 2.3897 4.0717 2.9530
Zn 3.5529 0.0000 1.4765
Zn 0.0000 5.7181 1.4765
Pt 5.3364 1.2617 0.0000
Pt 1.7835 4.4564 0.0000
Pt 1.7694 1.2617 2.9530
Pt -1.7835 4.4564 2.9530
```

VASP calculation (PBE) on crystalline AgCl2 at its relaxed geometry.

## Properties
SG: Pnma (62)
D(E_F) (states/eV/cell): 9.0
ΔE_f (raw) (meV/atom): -323.5

```
12
Lattice="7.7093 0.0000 0.0000 0.0000 3.6399 0.0000 0.0000 0.0000 12.3080" Properties=species:S:1:pos:R:3 pbc="T T T"
Ag 1.9297 0.9100 0.0158
Ag 1.9250 2.7299 6.1698
Ag 5.7843 0.9100 6.1382
Ag 5.7796 2.7299 12.2922
Cl 1.0442 0.9100 7.6013
Cl 1.0539 2.7299 10.8879
Cl 2.8007 0.9100 4.7339
Cl 2.8105 2.7299 1.4473
Cl 4.8988 0.9100 10.8607
Cl 4.9086 2.7299 7.5741
Cl 6.6553 0.9100 1.4201
Cl 6.6651 2.7299 4.7067
```

VASP calculation (PBE) on crystalline Pm6HoTh at its relaxed geometry.

## Properties
SG: P4/mmm (123)
D(E_F) (states/eV/cell): 12.0
E_form (eV/atom): 0.038

```
8
Lattice="5.1236 0.0000 0.0000 0.0000 5.1236 0.0000 0.0000 0.0000 10.2412" Properties=species:S:1:pos:R:3 pbc="T T T"
Pm 0.0000 0.0000 0.0000
Pm 0.0000 0.0000 5.1206
Pm 0.0000 2.5618 2.5408
Pm 0.0000 2.5618 7.7004
Pm 2.5618 0.0000 2.5408
Pm 2.5618 0.0000 7.7004
Ho 2.5618 2.5618 5.1206
Th 2.5618 2.5618 0.0000
```

VASP calculation (PBE) on crystalline Ac6RuO12 at its relaxed geometry.

## Properties
SG: R-3 (148)
D(E_F) (states/eV/cell): 9.9
ΔE_f (raw) (meV/atom): -2836.9

```
19
Lattice="5.3298 3.0772 3.4263 -5.3298 3.0772 3.4263 0.0000 -6.1544 3.4263" Properties=species:S:1:pos:R:3 pbc="T T T"
Ac -2.8642 -2.6172 5.3014
Ac -3.6987 1.1719 4.9775
Ac 0.8344 -3.7891 4.9775
Ac -0.8344 3.7891 5.3014
Ac 3.6987 -1.1719 5.3014
Ac 2.8643 2.6172 4.9775
Ru 0.0000 0.0000 5.1394
O -1.4344 -4.4166 4.3899
O -4.5421 -0.9661 5.8889
O -1.6392 -0.3668 4.0682
O -3.1077 3.4505 4.3899
O 1.1372 -1.2362 4.0682
O -0.5020 -1.6029 6.2107
O 0.5020 1.6029 4.0682
O -1.1372 1.2362 6.2107
O 3.1077 -3.4505 5.8889
O 1.6392 0.3668 6.2107
O 4.5421 0.9661 4.3899
O 1.4344 4.4166 5.8889
```

VASP calculation (PBE) on crystalline NdMgScPb at its relaxed geometry.

## Properties
SG: F-43m (216)
D(E_F) (states/eV/cell): 16.5
E_form (eV/atom): -0.255

```
16
Lattice="7.5050 0.0000 0.0000 0.0000 7.5050 0.0000 0.0000 0.0000 7.5050" Properties=species:S:1:pos:R:3 pbc="T T T"
Nd 0.0000 0.0000 0.0000
Nd 0.0000 3.7525 3.7525
Nd 3.7525 0.0000 3.7525
Nd 3.7525 3.7525 0.0000
Mg 1.8762 1.8762 5.6287
Mg 1.8762 5.6287 1.8762
Mg 5.6287 1.8762 1.8762
Mg 5.6287 5.6287 5.6287
Sc 0.0000 0.0000 3.7525
Sc 0.0000 3.7525 0.0000
Sc 3.7525 0.0000 0.0000
Sc 3.7525 3.7525 3.7525
Pb 1.8762 1.8762 1.8762
Pb 1.8762 5.6287 5.6287
Pb 5.6287 1.8762 5.6287
Pb 5.6287 5.6287 1.8762
```

VASP calculation (PBE) on crystalline Cs2In2PbBr6 at its relaxed geometry.

## Properties
SG: C2/m (12)
D(E_F) (states/eV/cell): 0.0
ΔE_f (raw) (meV/atom): -1105.8

```
11
Lattice="7.4410 -4.2700 0.0000 7.4410 4.2700 0.0000 -4.3440 0.0000 8.0887" Properties=species:S:1:pos:R:3 pbc="T T T"
Cs 2.5636 0.0000 1.2577
Cs 7.9744 0.0000 6.8309
In 2.9731 0.0000 6.4681
In 7.5649 0.0000 1.6206
Pb -2.1720 0.0000 4.0443
Br 5.4952 2.1831 1.7689
Br 0.8331 0.0000 4.3577
Br 5.0428 2.1831 6.3198
Br 5.4952 -2.1831 1.7689
Br 9.7049 0.0000 3.7310
Br 5.0428 -2.1831 6.3198
```

VASP calculation (PBE) on crystalline Cs2MgU2Se6 at its relaxed geometry.

## Properties
SG: C2/m (12)
D(E_F) (states/eV/cell): 11.9
ΔE_f (raw) (meV/atom): -1250.1

```
11
Lattice="3.5850 -6.2121 0.0000 3.5850 6.2121 0.0000 -2.3524 0.0000 8.5882" Properties=species:S:1:pos:R:3 pbc="T T T"
Cs 3.5850 4.1606 0.0000
Cs 3.5850 -4.1606 0.0000
Mg -1.1762 0.0000 4.2941
U 2.4088 2.0682 4.2941
U 2.4088 -2.0682 4.2941
Se 0.0203 2.0719 5.8372
Se 1.1961 0.0000 2.7627
Se 0.0203 -2.0719 5.8372
Se 4.7973 2.0719 2.7510
Se 3.6215 0.0000 5.8255
Se 4.7973 -2.0719 2.7510
```

VASP calculation (PBE) on crystalline ReNi3Au at its relaxed geometry.

## Properties
SG: Pm-3m (221)
D(E_F) (states/eV/cell): 6.4
E_form (eV/atom): 1.359

```
5
Lattice="4.4840 0.0000 0.0000 0.0000 4.4840 0.0000 0.0000 0.0000 4.4840" Properties=species:S:1:pos:R:3 pbc="T T T"
Re 0.0000 0.0000 0.0000
Ni 0.0000 0.0000 2.2420
Ni 0.0000 2.2420 0.0000
Ni 2.2420 0.0000 0.0000
Au 2.2420 2.2420 2.2420
```